[1]
# MgAlFe | Alexandria | PBE | optimized geometry
data_MgAlFe
_space_group_name_H-M_alt 'P 3 m 1'
_space_group_IT_number 156
_cell_length_a 4.3093
_cell_length_b 4.3093
_cell_length_c 2.7527
_cell_angle_alpha 90.00
_cell_angle_beta 90.00
_cell_angle_gamma 120.00
loop_
_space_group_symop_operation_xyz
'x,y,z'
'-y,x-y,z'
'-x+y,-x,z'
'-y,-x,z'
'-x+y,y,z'
'x,x-y,z'
loop_
_atom_site_label
_atom_site_type_symbol
_atom_site_fract_x
_atom_site_fract_y
_atom_site_fract_z
Mg1 Mg 0.0000 0.0000 0.0000
Al1 Al 0.6667 0.3333 0.4079
Fe1 Fe 0.3333 0.6667 0.6150
# * ΔH_f (0 K): 0.07 eV/atom

[2]
A geometry-optimized Na3DyI6 structure, computed with PBE.

Structure (CIF):
```
data_Na3DyI6
_space_group_name_H-M_alt 'P 1 21/c 1'
_space_group_IT_number 14
_cell_length_a 7.8189
_cell_length_b 8.3803
_cell_length_c 14.1643
_cell_angle_alpha 90.00
_cell_angle_beta 123.45
_cell_angle_gamma 90.00
loop_
_space_group_symop_operation_xyz
'x,y,z'
'-x,-y,-z'
'-x,y+1/2,-z+1/2'
'x,-y+1/2,z+1/2'
loop_
_atom_site_label
_atom_site_type_symbol
_atom_site_fract_x
_atom_site_fract_y
_atom_site_fract_z
Na1 Na 0.0000 0.0000 0.0000
Na2 Na 0.2855 0.1004 0.7438
Dy1 Dy 0.5000 0.0000 0.5000
I1 I 0.1149 0.0543 0.2633
I2 I 0.2556 0.6791 0.0726
I3 I 0.4104 0.1902 0.0770
```

[3]
# BaAlCd11 | Alexandria | PBE | optimized geometry
data_BaAlCd11
_space_group_name_H-M_alt 'C 1 2/m 1'
_space_group_IT_number 12
_cell_length_a 6.0333
_cell_length_b 14.3089
_cell_length_c 7.7563
_cell_angle_alpha 90.00
_cell_angle_beta 112.09
_cell_angle_gamma 90.00
loop_
_space_group_symop_operation_xyz
'x,y,z'
'-x,-y,-z'
'-x,y,-z'
'x,-y,z'
'x+1/2,y+1/2,z'
'-x+1/2,-y+1/2,-z'
'-x+1/2,y+1/2,-z'
'x+1/2,-y+1/2,z'
loop_
_atom_site_label
_atom_site_type_symbol
_atom_site_fract_x
_atom_site_fract_y
_atom_site_fract_z
Ba1 Ba 0.0000 0.0000 0.0000
Al1 Al 0.0000 0.5000 0.5000
Cd1 Cd 0.0000 0.0000 0.5000
Cd2 Cd 0.1050 0.3911 0.2223
Cd3 Cd 0.1845 0.1758 0.3571
Cd4 Cd 0.2500 0.2500 0.0000
# * ΔH_f (0 K): -0.12 eV/atom

In the order shown, the computed energy values come out to -4.533, -3.074, -1.327 eV per atom.
In the order shown, the computed N(E_F) values come out to 0.894, 0.000, 0.264 states/eV per atom.